Entry 1:
Density functional theory data (PBE) for an optimized crystal structure of Li4TlPb.

As for the density: 5.94 g/cm³. Its crystal system is monoclinic. The distance to the lowest polymorph of the same formula comes out at 4 meV/atom. The total energy comes out at -2.534 eV per atom.

The space group is Pm (No. 6) and the conventional cell measures 3.159, 4.720 and 8.234 Å, with angles of 90.00, 90.03 and 90.00 degrees. Symmetry generates all atoms from Li at (0.000, 0.000, 0.000), Li at (0.000, 0.500, 0.453), Li at (0.501, 0.000, 0.316), Li at (0.998, 0.500, 0.811), Tl at (0.498, 0.000, 0.661) and Pb at (0.499, 0.500, 0.127).

Entry 2:
Density functional theory data (PBE) for an optimized crystal structure of Ce7AlGa3.

As for the density: 7.04 g/cm³. Its crystal system is monoclinic. The total energy comes out at -5.144 eV per atom.

The space group is C2/m (No. 12) and the conventional cell measures 10.340, 11.149 and 5.663 Å, with angles of 90.00, 118.47 and 90.00 degrees. Symmetry generates all atoms from Ce at (0.000, 0.000, 0.000), Ce at (0.163, 0.500, 0.150), Ce at (0.166, 0.259, 0.653), Al at (0.000, 0.000, 0.500), Ga at (0.000, 0.264, 0.000) and Ga at (0.000, 0.500, 0.500).

Entry 3:
Density functional theory data (PBE) for an optimized crystal structure of TiNb2S5.

As for the density: 3.41 g/cm³. The calculation puts the raw formation energy at -902 meV per atom. Its crystal system is orthorhombic. The distance to the lowest polymorph of the same formula comes out at 92 meV/atom. The total energy comes out at -6.986 eV per atom.

The space group is Fmmm (No. 69) and the conventional cell measures 4.481, 13.065 and 13.109 Å, with angles of 90.00, 90.00 and 90.00 degrees. Symmetry generates all atoms from Ti at (0.000, 0.000, 0.000), Nb at (0.000, 0.186, 0.500), S at (0.000, 0.000, 0.500) and S at (0.000, 0.161, 0.116).

Entry 4:
Density functional theory data (PBE) for an optimized crystal structure of CaTlCo4.

As for the density: 8.85 g/cm³. Its crystal system is cubic. The total energy comes out at -5.301 eV per atom.

The space group is F-43m (No. 216) and the conventional cell measures 7.118, 7.118 and 7.118 Å, with angles of 90.00, 90.00 and 90.00 degrees. Symmetry generates all atoms from Ca at (0.000, 0.000, 0.000), Tl at (0.250, 0.250, 0.250) and Co at (0.125, 0.125, 0.625).

Entry 5:
Density functional theory data (PBE) for an optimized crystal structure of InH2Ru.

As for the density: 8.70 g/cm³. Its crystal system is cubic. The distance to the lowest polymorph of the same formula comes out at 816 meV/atom. The total energy comes out at -3.891 eV per atom.

The space group is Fm-3m (No. 225) and the conventional cell measures 5.499, 5.499 and 5.499 Å, with angles of 90.00, 90.00 and 90.00 degrees. Symmetry generates all atoms from In at (0.000, 0.000, 0.000), H at (0.250, 0.250, 0.250) and Ru at (0.000, 0.000, 0.500).

Entry 6:
Density functional theory data (PBE) for an optimized crystal structure of Nd3Cu8Ag.

As for the density: 8.45 g/cm³. Its crystal system is trigonal. The total energy comes out at -4.277 eV per atom.

The space group is R3m (No. 160, hexagonal axes) and the conventional cell measures 5.2397, 5.2397 and 26.0228 Å, with angles of 90.00, 90.00 and 120.00 degrees. Symmetry generates all atoms from Nd at (0.0000, 0.0000, 0.0000), Nd at (0.0000, 0.0000, 0.1273), Nd at (0.0000, 0.0000, 0.6123), Cu at (0.0000, 0.0000, 0.3070), Cu at (0.0000, 0.0000, 0.8090), Cu at (0.0016, 0.5008, 0.0596), Cu at (0.0088, 0.5044, 0.5564) and Ag at (0.0000, 0.0000, 0.4923).

Entry 7:
Density functional theory data (PBE) for an optimized crystal structure of BaZrTc2O8.

As for the density: 4.14 g/cm³. The calculation puts the raw formation energy at -2010 meV per atom. Its crystal system is trigonal. The total energy comes out at -7.916 eV per atom.

The space group is P-3 (No. 147) and the conventional cell measures 5.8768, 5.8768 and 7.4008 Å, with angles of 90.00, 90.00 and 120.00 degrees. Symmetry generates all atoms from Ba at (0.0000, 0.0000, 0.0000), Zr at (0.0000, 0.0000, 0.5000), Tc at (0.3333, 0.6667, 0.7587), O at (0.1550, 0.3200, 0.6807) and O at (0.3333, 0.6667, 0.9994).

Entry 8:
Density functional theory data (PBE) for an optimized crystal structure of HfZr6In5.

As for the density: 7.87 g/cm³. Its crystal system is monoclinic. The distance to the lowest polymorph of the same formula comes out at 121 meV/atom. The total energy comes out at -6.381 eV per atom.

The space group is C2/m (No. 12) and the conventional cell measures 10.401, 9.514 and 5.622 Å, with angles of 90.00, 99.53 and 90.00 degrees. Symmetry generates all atoms from Hf at (0.000, 0.000, 0.000), Zr at (0.247, 0.328, 0.750), Zr at (0.249, 0.000, 0.734), In at (0.000, 0.161, 0.500), In at (0.000, 0.329, 0.000) and In at (0.000, 0.500, 0.500).

Entry 9:
Density functional theory data (PBE) for an optimized crystal structure of Tl3CuRh2Se6.

As for the density: 8.18 g/cm³. The calculation puts the raw formation energy at -313 meV per atom. Its crystal system is monoclinic. The total energy comes out at -4.213 eV per atom.

The space group is C2/m (No. 12) and the conventional cell measures 6.706, 11.590 and 7.418 Å, with angles of 90.00, 107.18 and 90.00 degrees. Symmetry generates all atoms from Tl at (0.000, 0.000, 0.000), Tl at (0.000, 0.332, 0.000), Cu at (0.000, 0.500, 0.500), Rh at (0.000, 0.167, 0.500), Se at (0.219, 0.000, 0.673) and Se at (0.228, 0.330, 0.677).

Entry 10:
Density functional theory data (PBE) for an optimized crystal structure of YPdI2O.

As for the density: 4.98 g/cm³. The calculation puts the raw formation energy at -824 meV per atom. Its crystal system is tetragonal. The distance to the lowest polymorph of the same formula comes out at 0 meV/atom. The total energy comes out at -4.767 eV per atom.

The space group is P4/mmm (No. 123) and the conventional cell measures 6.129, 6.129 and 4.129 Å, with angles of 90.00, 90.00 and 90.00 degrees. Symmetry generates all atoms from Y at (0.000, 0.000, 0.000), Pd at (0.500, 0.500, 0.500), I at (0.000, 0.500, 0.000) and O at (0.000, 0.000, 0.500).

Entry 11:
Density functional theory data (PBE) for an optimized crystal structure of NdYHo5Tm2.

As for the density: 8.00 g/cm³. Its crystal system is orthorhombic. The total energy comes out at -4.621 eV per atom.

The space group is Cmc2_1 (No. 36) and the conventional cell measures 5.577, 19.690 and 10.559 Å, with angles of 90.00, 90.00 and 90.00 degrees. Symmetry generates all atoms from Nd at (0.000, 0.084, 0.000), Y at (0.000, 0.300, 0.561), Ho at (0.000, 0.022, 0.285), Ho at (0.000, 0.111, 0.571), Ho at (0.000, 0.201, 0.259), Ho at (0.000, 0.218, 0.859), Ho at (0.000, 0.482, 0.573), Tm at (0.000, 0.386, 0.868) and Tm at (0.000, 0.390, 0.284).

Entry 12:
Density functional theory data (PBE) for an optimized crystal structure of La5PaBi6.

As for the density: 8.42 g/cm³. Its crystal system is monoclinic. The total energy comes out at -5.676 eV per atom.

The space group is C2/m (No. 12) and the conventional cell measures 8.074, 13.986 and 8.072 Å, with angles of 90.00, 109.48 and 90.00 degrees. Symmetry generates all atoms from La at (0.000, 0.000, 0.000), La at (0.000, 0.165, 0.500), La at (0.000, 0.330, 0.000), Pa at (0.000, 0.500, 0.500), Bi at (0.240, 0.500, 0.254) and Bi at (0.242, 0.338, 0.743).

Entry 13:
Density functional theory data (PBE) for an optimized crystal structure of SmHo2B6.

As for the density: 8.18 g/cm³. Its crystal system is hexagonal. The total energy comes out at -6.514 eV per atom.

The space group is P6/mmm (No. 191) and the conventional cell measures 5.7138, 5.7138 and 3.9131 Å, with angles of 90.00, 90.00 and 120.00 degrees. Symmetry generates all atoms from Sm at (0.0000, 0.0000, 0.0000), Ho at (0.3333, 0.6667, 0.0000) and B at (0.0000, 0.3374, 0.5000).

Entry 14:
Density functional theory data (PBE) for an optimized crystal structure of CePa3.

As for the density: 13.91 g/cm³. Its crystal system is orthorhombic. The distance to the lowest polymorph of the same formula comes out at 18 meV/atom. The total energy comes out at -8.552 eV per atom.

The space group is Imm2 (No. 44) and the conventional cell measures 3.125, 11.144 and 5.712 Å, with angles of 90.00, 90.00 and 90.00 degrees. Symmetry generates all atoms from Ce at (0.000, 0.000, 0.000), Pa at (0.000, 0.249, 0.257) and Pa at (0.000, 0.500, 0.994).

Entry 15:
Density functional theory data (PBE) for an optimized crystal structure of La2Er3Tl.

As for the density: 8.81 g/cm³. Its crystal system is orthorhombic. The total energy comes out at -4.399 eV per atom.

The space group is Cmmm (No. 65) and the conventional cell measures 4.921, 15.053 and 5.010 Å, with angles of 90.00, 90.00 and 90.00 degrees. Symmetry generates all atoms from La at (0.000, 0.167, 0.000), Er at (0.000, 0.000, 0.500), Er at (0.000, 0.338, 0.500) and Tl at (0.000, 0.500, 0.000).

Entry 16:
Density functional theory data (PBE) for an optimized crystal structure of Mg2SbSe.

As for the density: 4.35 g/cm³. The calculation puts the raw formation energy at -581 meV per atom. Its crystal system is orthorhombic. The distance to the lowest polymorph of the same formula comes out at 128 meV/atom. The total energy comes out at -3.280 eV per atom.

The space group is Pmm2 (No. 25) and the conventional cell measures 3.750, 5.809 and 4.363 Å, with angles of 90.00, 90.00 and 90.00 degrees. Symmetry generates all atoms from Mg at (0.000, 0.000, 0.000), Mg at (0.500, 0.500, 0.482), Sb at (0.000, 0.500, 0.982) and Se at (0.500, 0.000, 0.490).

Entry 17:
Density functional theory data (PBE) for an optimized crystal structure of K4Pm3ScTe8.

As for the density: 4.70 g/cm³. The calculation puts the raw formation energy at -1366 meV per atom. Its crystal system is trigonal. The total energy comes out at -4.498 eV per atom.

The space group is R-3m (No. 166, hexagonal axes) and the conventional cell measures 9.0511, 9.0511 and 24.7312 Å, with angles of 90.00, 90.00 and 120.00 degrees. Symmetry generates all atoms from K at (0.0000, 0.0000, 0.0000), K at (0.0000, 0.5000, 0.0000), Pm at (0.0000, 0.5000, 0.5000), Sc at (0.0000, 0.0000, 0.5000), Te at (0.0000, 0.0000, 0.2386) and Te at (0.0154, 0.5077, 0.2357).

Entry 18:
Density functional theory data (PBE) for an optimized crystal structure of NaTaI2O.

As for the density: 5.81 g/cm³. The calculation puts the raw formation energy at -934 meV per atom. Its crystal system is tetragonal. The distance to the lowest polymorph of the same formula comes out at 0 meV/atom. The total energy comes out at -5.180 eV per atom.

The space group is P4/mmm (No. 123) and the conventional cell measures 5.867, 5.867 and 3.933 Å, with angles of 90.00, 90.00 and 90.00 degrees. Symmetry generates all atoms from Na at (0.000, 0.000, 0.000), Ta at (0.500, 0.500, 0.500), I at (0.000, 0.500, 0.500) and O at (0.500, 0.500, 0.000).

Entry 19:
Density functional theory data (PBE) for an optimized crystal structure of ReOsRh2.

As for the density: 16.85 g/cm³. Its crystal system is orthorhombic. The distance to the lowest polymorph of the same formula comes out at 99 meV/atom. The total energy comes out at -9.556 eV per atom.

The space group is Cmmm (No. 65) and the conventional cell measures 5.399, 7.859 and 2.704 Å, with angles of 90.00, 90.00 and 90.00 degrees. Symmetry generates all atoms from Re at (0.000, 0.000, 0.000), Os at (0.000, 0.500, 0.000) and Rh at (0.250, 0.250, 0.500).

Entry 20:
Density functional theory data (PBE) for an optimized crystal structure of AcTb2Hg.

As for the density: 10.04 g/cm³. Its crystal system is cubic. The distance to the lowest polymorph of the same formula comes out at 250 meV/atom. The total energy comes out at -3.375 eV per atom.

The space group is Fm-3m (No. 225) and the conventional cell measures 7.900, 7.900 and 7.900 Å, with angles of 90.00, 90.00 and 90.00 degrees. Symmetry generates all atoms from Ac at (0.000, 0.000, 0.000), Tb at (0.250, 0.250, 0.250) and Hg at (0.000, 0.000, 0.500).

no.,M_tot (μB per atom)
1,0.000
2,0.505
3,0.058
4,0.889
5,0.000
6,0.000
7,0.332
8,0.000
9,0.000
10,0.163
11,0.000
12,0.066
13,0.000
14,0.000
15,0.000
16,0.000
17,0.000
18,0.287
19,0.000
20,0.000